No. 1
## DyThCd4 (PBE)

Data for a relaxed DyThCd4 crystal.

```
6
Lattice="3.410 0.004 -0.002 -0.007 5.039 -0.011 0.003 0.019 8.757" Properties=species:S:1:pos:R:3 pbc="T T T"
Dy 0.852 5.036 4.351
Th 0.856 2.526 8.735
Cd 2.557 5.032 1.480
Cd 2.556 5.044 7.220
Cd 2.557 2.522 5.773
Cd 2.561 2.516 2.938
```

Results
Its crystal system is orthorhombic. The energy relative to the lowest polymorph listed for this composition is 0.000 eV/atom.


No. 2
## Dy2ThCd (PBE)

Data for a relaxed Dy2ThCd crystal.

```
4
Lattice="-2.545 2.559 -0.091 -2.181 -2.100 1.966 3.287 3.531 7.419" Properties=species:S:1:pos:R:3 pbc="T T T"
Cd -2.363 0.230 0.938
Th -0.719 1.995 4.647
Dy 2.529 2.716 5.707
Dy 0.759 0.815 1.712
```

Results
Its crystal system is tetragonal. The energy relative to the lowest polymorph listed for this composition is 0.000 eV/atom.


No. 3
## Dy2ThCd (PBE)

Data for a relaxed Dy2ThCd crystal.

```
4
Lattice="-2.528 -1.805 -1.670 0.450 -0.966 -3.361 4.227 -11.140 1.918" Properties=species:S:1:pos:R:3 pbc="T T T"
Cd 0.000 0.000 0.000
Th 1.075 -6.955 -1.556
Dy 2.908 -8.402 0.954
Dy -0.759 -5.509 -4.067
```

Results
Its crystal system is trigonal. The energy relative to the lowest polymorph listed for this composition is 0.322 eV/atom.


No. 4
## DyTh2Cd (PBE)

Data for a relaxed DyTh2Cd crystal.

```
4
Lattice="-0.301 -4.724 1.738 -0.864 -1.594 -4.482 4.748 -0.565 -0.714" Properties=species:S:1:pos:R:3 pbc="T T T"
Cd 1.792 -3.441 -1.729
Th 2.374 -0.282 -0.357
Th -0.432 -0.797 -2.241
Dy -0.150 -2.362 0.869
```

Results
Its crystal system is tetragonal. The energy relative to the lowest polymorph listed for this composition is 0.000 eV/atom.


No. 5
## DyThCd (PBE)

Data for a relaxed DyThCd crystal.

```
3
Lattice="3.584 0.000 0.000 0.000 3.584 0.000 -1.792 -1.792 6.813" Properties=species:S:1:pos:R:3 pbc="T T T"
Cd 1.792 1.792 2.370
Th 0.000 0.000 0.060
Dy 0.000 0.000 4.383
```

Results
Its crystal system is tetragonal. The energy relative to the lowest polymorph listed for this composition is 0.000 eV/atom.


No. 6
## Dy2Th2Cd (PBE)

Data for a relaxed Dy2Th2Cd crystal.

```
5
Lattice="3.562 0.000 -0.572 -0.092 3.561 -0.572 0.042 0.043 11.646" Properties=species:S:1:pos:R:3 pbc="T T T"
Dy 2.051 2.104 1.396
Dy 1.461 1.499 9.107
Th 2.813 2.887 6.147
Th 0.699 0.717 4.356
Cd 0.000 0.000 0.000
```

Results
Its crystal system is tetragonal.


No. 7
## DyTh2Cd4 (PBE)

Data for a relaxed DyTh2Cd4 crystal.

```
7
Lattice="-5.058 -0.391 -1.019 0.037 -4.889 1.694 0.908 5.061 6.684" Properties=species:S:1:pos:R:3 pbc="T T T"
Cd -1.238 -0.547 6.351
Cd -3.785 1.702 4.994
Cd -2.875 0.327 1.007
Cd -0.328 -1.921 2.364
Th -3.294 -1.456 3.772
Th -0.818 1.236 3.586
Dy 0.000 0.000 0.000
```

Results
Its crystal system is tetragonal.


No. 8
## DyThCd3 (PBE)

Data for a relaxed DyThCd3 crystal.

```
10
Lattice="-4.534 -1.081 -1.893 -1.257 -0.310 3.187 -2.868 14.752 -1.551" Properties=species:S:1:pos:R:3 pbc="T T T"
Dy -3.751 7.878 1.145
Dy -4.908 5.482 -1.401
Th -1.660 1.927 -0.467
Th -6.999 11.434 0.210
Cd -3.768 10.729 -0.441
Cd -4.891 2.632 0.184
Cd -4.460 13.617 -0.432
Cd -4.199 -0.256 0.176
Cd -5.659 8.616 -1.392
Cd -3.001 4.745 1.136
```

Results
Its crystal system is orthorhombic.


Number 1: E_form -308 meV per atom, magnetization 0.00 μB per atom. Number 2: E_form -165 meV per atom, magnetization 0.00 μB per atom. Number 3: E_form 156 meV per atom, magnetization 0.00 μB per atom. Number 4: E_form -23 meV per atom, magnetization 0.00 μB per atom. Number 5: E_form -120 meV per atom, magnetization 0.00 μB per atom. Number 6: E_form -127 meV per atom, magnetization 0.00 μB per atom. Number 7: E_form -6 meV per atom, magnetization 0.00 μB per atom. Number 8: E_form -209 meV per atom, magnetization 0.00 μB per atom.